No. 1
## CeDyOsPt (PBE-GGA)

Data for a relaxed structure of CeDyOsPt.

* calculated density: 13.51 g cm⁻³
* total DFT energy (no corrections): -7.53 eV per atom
* space group: F-43m (216)
* formation enthalpy at 0 K: -579 meV per atom

Unit cell a=4.927 b=4.927 c=4.927 alpha=60.00 beta=60.00 gamma=60.00
Site moments in Bohr magnetons follow the coordinates.
Element x y z (fractional)
Ce: 0.500 0.500 0.500  0.34
Dy: 0.000 0.000 0.000  0.01
Pt: 0.750 0.750 0.750  -0.01
Os: 0.250 0.250 0.250  -0.03

***

No. 2
## Zr6InBi (PBE-GGA)

Data for a relaxed structure of Zr6InBi.

* calculated density: 7.91 g cm⁻³
* total DFT energy (no corrections): -7.45 eV per atom
* space group: Amm2 (38)
* formation enthalpy at 0 K: -212 meV per atom

Unit cell a=5.239 b=6.298 c=6.298 alpha=118.34 beta=90.00 gamma=90.00
Element x y z (fractional)
Zr: 0.000 0.092 0.415
Zr: 0.000 0.594 0.406
Zr: 0.500 0.408 0.085
Zr: 0.000 0.585 0.908
Zr: 0.500 0.906 0.094
Zr: 0.500 0.915 0.592
Bi: 0.000 0.084 0.916
In: 0.500 0.416 0.584

***

No. 3
## Pr5FeBr5 (PBE-GGA)

Data for a relaxed structure of Pr5FeBr5.

* calculated density: 5.81 g cm⁻³
* total DFT energy (no corrections): -4.82 eV per atom
* ΔE_f (raw): -1.116 eV/atom
* space group: C2/m (12)

Unit cell a=6.029 b=7.277 c=8.863 alpha=108.68 beta=90.00 gamma=114.47
Element x y z (fractional)
Pr: 0.165 0.331 0.865
Pr: 0.139 0.277 0.276
Pr: 0.861 0.723 0.724
Pr: 0.500 0.000 0.000
Pr: 0.835 0.669 0.135
Fe: 0.000 0.000 0.000
Br: 0.353 0.705 0.211
Br: 0.673 0.346 0.355
Br: 0.000 0.000 0.500
Br: 0.647 0.295 0.789
Br: 0.327 0.654 0.645

***

No. 4
## Na3Li2Tl7 (PBE-GGA)

Data for a relaxed structure of Na3Li2Tl7.

* calculated density: 7.60 g cm⁻³
* distance to the lowest polymorph of the same formula: 0 meV per atom
* total DFT energy (no corrections): -2.10 eV per atom
* space group: P2/m (10)
* formation enthalpy at 0 K: -67 meV per atom

Unit cell a=3.559 b=5.287 c=17.767 alpha=98.62 beta=90.00 gamma=90.00
Element x y z (fractional)
Na: 0.500 0.500 0.000
Na: 0.000 0.191 0.380
Na: 0.000 0.809 0.620
Tl: 0.000 0.577 0.147
Tl: 0.500 0.108 0.209
Tl: 0.000 0.423 0.853
Tl: 0.500 0.892 0.791
Tl: 0.000 0.000 0.000
Tl: 0.500 0.726 0.451
Tl: 0.500 0.274 0.549
Li: 0.500 0.354 0.712
Li: 0.500 0.646 0.288

***

No. 5
## Dy4In3Hg (PBE-GGA)

Data for a relaxed structure of Dy4In3Hg.

* calculated density: 9.10 g cm⁻³
* distance to the lowest polymorph of the same formula: 35 meV per atom
* total DFT energy (no corrections): -3.80 eV per atom
* space group: Pmm2 (25)
* formation enthalpy at 0 K: -433 meV per atom

Unit cell a=3.806 b=4.781 c=11.979 alpha=90.00 beta=90.00 gamma=90.00
Site moments in Bohr magnetons follow the coordinates.
Element x y z (fractional)
Dy: 0.500 0.000 0.656  0.07
Dy: 0.500 0.500 0.342  -0.01
Dy: 0.000 0.000 0.151  -0.02
Dy: 0.000 0.500 0.848  0.07
In: 0.000 0.000 0.420  0.00
In: 0.000 0.500 0.579  0.00
In: 0.500 0.000 0.922  0.00
Hg: 0.500 0.500 0.082  0.00

***

No. 6
## NaPmCu10 (PBE-GGA)

Data for a relaxed structure of NaPmCu10.

* calculated density: 7.37 g cm⁻³
* total DFT energy (no corrections): -3.97 eV per atom
* space group: Pmmm (47)
* formation enthalpy at 0 K: -49 meV per atom

Unit cell a=4.068 b=5.077 c=8.763 alpha=90.00 beta=90.00 gamma=90.00
Element x y z (fractional)
Cu: 0.000 0.000 0.339
Cu: 0.500 0.754 0.249
Cu: 0.500 0.000 0.500
Cu: 0.000 0.500 0.175
Cu: 0.500 0.246 0.249
Cu: 0.000 0.000 0.661
Cu: 0.500 0.246 0.751
Cu: 0.500 0.754 0.751
Cu: 0.000 0.500 0.825
Cu: 0.500 0.500 0.000
Pm: 0.000 0.000 0.000
Na: 0.000 0.500 0.500

***

No. 7
## TlTeAsN2 (PBE-GGA)

Data for a relaxed structure of TlTeAsN2.

* calculated density: 5.83 g cm⁻³
* distance to the lowest polymorph of the same formula: 541 meV per atom
* total DFT energy (no corrections): -3.49 eV per atom
* ΔE_f (raw): 1.871 eV/atom
* space group: P4/mmm (123)

Unit cell a=4.313 b=4.313 c=6.659 alpha=90.00 beta=90.00 gamma=90.00
Site moments in Bohr magnetons follow the coordinates.
Element x y z (fractional)
N: 0.000 0.500 0.000  1.08
N: 0.500 0.000 0.000  1.08
As: 0.500 0.500 0.500  0.36
Tl: 0.000 0.000 0.000  0.01
Te: 0.000 0.000 0.500  0.08

***

No. 8
## BaZr2W (PBE-GGA)

Data for a relaxed structure of BaZr2W.

* calculated density: 8.74 g cm⁻³
* distance to the lowest polymorph of the same formula: 698 meV per atom
* total DFT energy (no corrections): -6.95 eV per atom
* space group: F-43m (216)
* formation enthalpy at 0 K: 1040 meV per atom

Unit cell a=5.133 b=5.133 c=5.133 alpha=60.00 beta=60.00 gamma=60.00
Site moments in Bohr magnetons follow the coordinates.
Element x y z (fractional)
W: 0.750 0.750 0.750  -0.19
Zr: 0.250 0.250 0.250  0.49
Zr: 0.000 0.000 0.000  0.23
Ba: 0.500 0.500 0.500  0.04

***

No. 9
## Pm4TlIn (PBE-GGA)

Data for a relaxed structure of Pm4TlIn.

* calculated density: 7.11 g cm⁻³
* distance to the lowest polymorph of the same formula: 0 meV per atom
* total DFT energy (no corrections): -4.13 eV per atom
* space group: Cmc2_1 (36)
* formation enthalpy at 0 K: -113 meV per atom

Unit cell a=5.528 b=6.698 c=11.673 alpha=90.00 beta=103.70 gamma=90.00
Element x y z (fractional)
Pm: 0.296 0.580 0.593
Pm: 0.870 0.322 0.739
Pm: 0.704 0.080 0.407
Pm: 0.296 0.064 0.592
Pm: 0.436 0.822 0.872
Pm: 0.130 0.822 0.261
Pm: 0.704 0.564 0.408
Pm: 0.564 0.322 0.128
In: 0.161 0.323 0.323
In: 0.839 0.823 0.677
Tl: 0.572 0.822 0.143
Tl: 0.428 0.322 0.857

***

No. 10
## Ba3I2O8 (PBE-GGA)

Data for a relaxed structure of Ba3I2O8.

* calculated density: 5.21 g cm⁻³
* total DFT energy (no corrections): -5.21 eV per atom
* ΔE_f (raw): -1.482 eV/atom
* space group: R-3m (166)

Unit cell a=6.533 b=6.533 c=7.811 alpha=65.28 beta=65.28 gamma=60.00
Element x y z (fractional)
Ba: 0.203 0.203 0.392
Ba: 0.797 0.797 0.608
Ba: 0.000 0.000 0.000
O: 0.743 0.743 0.297
O: 0.257 0.257 0.703
O: 0.333 0.333 0.000
O: 0.743 0.218 0.297
O: 0.667 0.667 0.000
O: 0.257 0.782 0.703
O: 0.782 0.257 0.703
O: 0.218 0.743 0.297
I: 0.423 0.423 0.730
I: 0.577 0.577 0.270

***

No. 11
## PuNpURu (PBE-GGA)

Data for a relaxed structure of PuNpURu.

* calculated density: 18.65 g cm⁻³
* total DFT energy (no corrections): -11.97 eV per atom
* space group: F-43m (216)
* formation enthalpy at 0 K: -9 meV per atom

Unit cell a=4.692 b=4.692 c=4.692 alpha=60.00 beta=60.00 gamma=60.00
Site moments in Bohr magnetons follow the coordinates.
Element x y z (fractional)
Pu: 0.500 0.500 0.500  4.27
Np: 0.750 0.750 0.750  -1.62
Ru: 0.250 0.250 0.250  -0.11
U: 0.000 0.000 0.000  -0.42

***

No. 12
## Cu3TcBr9 (PBE-GGA)

Data for a relaxed structure of Cu3TcBr9.

* calculated density: 4.13 g cm⁻³
* total DFT energy (no corrections): -3.18 eV per atom
* ΔE_f (raw): -0.279 eV/atom
* space group: Cc (9)

Unit cell a=9.226 b=9.884 c=11.101 alpha=74.22 beta=65.45 gamma=62.18
Site moments in Bohr magnetons follow the coordinates.
Element x y z (fractional)
Br: 0.262 0.917 0.118  -0.09
Br: 0.160 0.666 0.820  -0.01
Br: 0.486 0.487 0.259  -0.16
Br: 0.456 0.779 0.444  0.02
Br: 0.565 0.822 0.697  -0.02
Br: 0.916 0.322 0.197  -0.02
Br: 0.162 0.082 0.665  0.00
Br: 0.736 0.730 0.060  0.00
Br: 0.704 0.417 0.618  -0.09
Br: 0.788 0.931 0.359  0.02
Br: 0.825 0.096 0.013  -0.10
Br: 0.066 0.596 0.513  -0.10
Br: 0.091 0.582 0.165  0.00
Br: 0.474 0.230 0.560  0.00
Br: 0.321 0.279 0.944  0.02
Br: 0.767 0.987 0.759  -0.16
Br: 0.353 0.166 0.320  -0.01
Br: 0.922 0.431 0.859  0.02
Cu: 0.454 0.744 0.235  -0.21
Cu: 0.809 0.567 0.669  -0.20
Cu: 0.956 0.067 0.169  -0.20
Cu: 0.998 0.939 0.834  -0.25
Cu: 0.567 0.244 0.735  -0.21
Cu: 0.230 0.439 0.334  -0.25
Tc: 0.021 0.499 0.006  1.86
Tc: 0.475 0.999 0.506  1.86

***

No. 13
## PrPuNp2Se4 (PBE-GGA)

Data for a relaxed structure of PrPuNp2Se4.

* calculated density: 9.60 g cm⁻³
* total DFT energy (no corrections): -8.71 eV per atom
* ΔE_f (raw): -1.347 eV/atom
* space group: P2/m (10)

Unit cell a=4.155 b=7.198 c=7.220 alpha=109.73 beta=90.00 gamma=90.00
Site moments in Bohr magnetons follow the coordinates.
Element x y z (fractional)
Se: 0.500 0.258 0.259  -0.01
Se: 0.500 0.742 0.741  -0.01
Se: 0.000 0.749 0.254  0.05
Se: 0.000 0.251 0.746  0.05
Pu: 0.500 0.500 0.000  -5.39
Np: 0.000 0.500 0.500  3.96
Np: 0.500 0.000 0.500  -4.04
Pr: 0.000 0.000 0.000  -0.02

***

No. 14
## BiAs2Br2 (PBE-GGA)

Data for a relaxed structure of BiAs2Br2.

* calculated density: 5.72 g cm⁻³
* distance to the lowest polymorph of the same formula: 0 meV per atom
* total DFT energy (no corrections): -3.28 eV per atom
* ΔE_f (raw): 0.028 eV/atom
* space group: P4/mbm (127)

Unit cell a=7.487 b=7.487 c=5.367 alpha=90.00 beta=90.00 gamma=90.00
Site moments in Bohr magnetons follow the coordinates.
Element x y z (fractional)
As: 0.618 0.118 0.000  -0.01
As: 0.382 0.882 0.000  -0.01
As: 0.118 0.382 0.000  -0.01
As: 0.882 0.618 0.000  -0.01
Br: 0.167 0.333 0.500  0.03
Br: 0.333 0.833 0.500  0.03
Br: 0.833 0.667 0.500  0.03
Br: 0.667 0.167 0.500  0.03
Bi: 0.500 0.500 0.000  0.36
Bi: 0.000 0.000 0.000  0.36

***

No. 15
## Zr2TaTe (PBE-GGA)

Data for a relaxed structure of Zr2TaTe.

* calculated density: 9.20 g cm⁻³
* total DFT energy (no corrections): -7.98 eV per atom
* ΔE_f (raw): 0.046 eV/atom
* space group: Cmm2 (35)

Unit cell a=3.234 b=3.234 c=8.962 alpha=90.00 beta=90.00 gamma=108.97
Element x y z (fractional)
Zr: 0.500 0.500 0.262
Zr: 0.000 0.000 0.990
Te: 0.500 0.500 0.742
Ta: 0.000 0.000 0.506

***

No. 16
## AgIr4Pb (PBE-GGA)

Data for a relaxed structure of AgIr4Pb.

* calculated density: 16.82 g cm⁻³
* total DFT energy (no corrections): -6.49 eV per atom
* space group: F-43m (216)
* formation enthalpy at 0 K: 513 meV per atom

Unit cell a=5.328 b=5.328 c=5.328 alpha=60.00 beta=60.00 gamma=60.00
Site moments in Bohr magnetons follow the coordinates.
Element x y z (fractional)
Ir: 0.375 0.375 0.876  0.24
Ir: 0.876 0.375 0.375  0.24
Ir: 0.375 0.375 0.375  0.24
Ir: 0.375 0.876 0.375  0.24
Pb: 0.750 0.750 0.750  0.03
Ag: 0.000 0.000 0.000  0.01

***

No. 17
## Eu6Mg (PBE-GGA)

Data for a relaxed structure of Eu6Mg.

* calculated density: 3.58 g cm⁻³
* total DFT energy (no corrections): -7.90 eV per atom
* space group: Im-3m (229)
* formation enthalpy at 0 K: 1137 meV per atom

Unit cell a=8.261 b=8.261 c=8.261 alpha=109.47 beta=109.47 gamma=109.47
Site moments in Bohr magnetons follow the coordinates.
Element x y z (fractional)
Eu: 0.250 0.750 0.500  7.29
Eu: 0.500 0.250 0.750  7.29
Eu: 0.750 0.250 0.500  7.29
Eu: 0.750 0.500 0.250  7.29
Eu: 0.250 0.500 0.750  7.29
Eu: 0.500 0.750 0.250  7.29
Mg: 0.000 0.000 0.000  -0.01